DFT (PBEsol) results for crystalline Y2TePb at its relaxed geometry.

## Properties
E above lowest polymorph = 75.0 kJ/mol of formula units
electronic total energy = -6.1214 eV/atom
ρ = 7.81 g/cm3
V = 109.1 Å³ per cell

```
Y2TePb
1.0
-1.3277 3.3568 0.8795
0.8684 -1.8643 5.0886
5.2374 1.4149 -0.8316
Y Te Pb
2 1 1
Direct
0.0000 0.5000 0.0000
0.0000 0.0000 0.5000
0.5000 0.0000 0.0000
0.5000 0.5000 0.5000
```

DFT (PBEsol) results for crystalline Y2TePb at its relaxed geometry.

## Properties
E above lowest polymorph = 85.3 kJ/mol of formula units
electronic total energy = -6.0949 eV/atom
ρ = 7.89 g/cm3
V = 107.8 Å³ per cell

```
Y2TePb
1.0
3.6270 0.0000 0.0000
0.0000 5.3216 0.0000
0.0000 0.0000 5.5874
Te Y Pb
1 2 1
Direct
0.5000 0.0000 0.5000
0.0000 0.5000 0.5000
0.0000 0.0000 0.0000
0.5000 0.5000 0.0000
```

| no. | D(E_F) (states/eV/atom) |
| --- | --- |
| 1 | 0.61 |
| 2 | 0.91 |